The following is a PBE with a Hubbard U calculation of crystalline Cd2NiTeO6 at its relaxed geometry, from the Alexandria database.

Cell and atoms, written as CIF:
```
data_Cd2NiTeO6
_chemical_formula_sum 'Cd4 Ni2 Te2 O12'
_cell_length_a 5.447
_cell_length_b 5.557
_cell_length_c 9.544
_cell_angle_alpha 90.00
_cell_angle_beta 124.53
_cell_angle_gamma 90.00
_symmetry_space_group_name_H-M 'P 1 21/c 1'
_symmetry_Int_Tables_number 14
loop_
_symmetry_equiv_pos_as_xyz
'x,y,z'
'-x,-y,-z'
'-x,y+1/2,-z+1/2'
'x,-y+1/2,z+1/2'
loop_
_atom_site_label
_atom_site_fract_x
_atom_site_fract_y
_atom_site_fract_z
Cd1 0.233 0.046 0.247
Ni1 0.000 0.000 0.500
Te1 0.500 0.000 0.000
O1 0.158 0.197 0.947
O2 0.248 0.714 0.938
O3 0.370 0.044 0.762
```

Output
V   238.0 Å³ per cell
Magnetic moment   1.93 μB per formula unit
Total DFT energy (no corrections)   -96.26 eV for the cell shown